No. 1
Compound: TbPaSb
Source: Alexandria
Functional: PBE
Structure: relaxed

Properties
Energy relative to the elements, uncorrected = -250 meV per atom
D(E_F) = 10.58 states/eV/cell
Magnetization = 0.9 μB/f.u.

Cell: 3.925 3.925 10.789 Å, 90.00 90.00 90.00°
Space group I4mm (No. 107)
One atom of each set of equivalent atoms:
Tb  0.000  0.000  0.000 [2 per cell]
Pa  0.000  0.000  0.301 [2 per cell]
Sb  0.000  0.000  0.646 [2 per cell]

=====

No. 2
Compound: Tb3PaSb4
Source: Alexandria
Functional: PBE
Structure: relaxed

Properties
Energy relative to the elements, uncorrected = -972 meV per atom
D(E_F) = 13.15 states/eV/cell
Magnetization = 0.9 μB/f.u.

Cell: 8.793 12.411 4.391 Å, 90.00 90.00 90.00°
Space group Cmmm (No. 65)
One atom of each set of equivalent atoms:
Tb  0.000  0.000  0.000 [2 per cell]
Tb  0.250  0.250  0.500 [4 per cell]
Pa  0.000  0.500  0.000 [2 per cell]
Sb  0.000  0.251  0.000 [4 per cell]
Sb  0.249  0.500  0.500 [4 per cell]

=====

The highest D(E_F) belongs to which entry? Tb3PaSb4

=====

Among the records above, which one has the highest D(E_F)? Tb3PaSb4